SrNd: relaxed, PBE.

Cell lengths 3.913, 3.913, 11.287 Å; angles 90.00, 90.00, 90.00 degrees
Space group P4/nmm (No. 129, origin choice 2)
Inequivalent atoms, fractional coordinates:
Sr: 0.250 0.250 0.146 (multiplicity 2)
Nd: 0.250 0.250 0.601 (multiplicity 2)

Values from the calculation:
crystal system: tetragonal
total moment: 0.0 Bohr magnetons per cell
formation energy from the elements: 70 meV/atom
relative energy among the computed polymorphs: 0 meV per atom

SrNd7: relaxed, PBE.

Cell lengths 3.725, 11.603, 13.801 Å; angles 90.00, 90.00, 90.00 degrees
Space group Immm (No. 71)
Inequivalent atoms, fractional coordinates:
Sr: 0.000 0.000 0.000 (multiplicity 2)
Nd: 0.000 0.226 0.366 (multiplicity 8)
Nd: 0.000 0.500 0.000 (multiplicity 2)
Nd: 0.000 0.500 0.253 (multiplicity 4)

Values from the calculation:
crystal system: orthorhombic
total moment: 0.0 Bohr magnetons per cell
formation energy from the elements: 61 meV/atom

Sr3Nd: relaxed, PBE.

Cell lengths 4.008, 13.354, 7.076 Å; angles 90.00, 90.00, 90.00 degrees
Space group Imm2 (No. 44)
Inequivalent atoms, fractional coordinates:
Sr: 0.000 0.000 0.000 (multiplicity 2)
Sr: 0.000 0.243 0.664 (multiplicity 4)
Nd: 0.000 0.500 0.998 (multiplicity 2)

Values from the calculation:
crystal system: orthorhombic
total moment: 1.0 Bohr magnetons per cell
formation energy from the elements: 144 meV/atom
relative energy among the computed polymorphs: 0 meV per atom

SrNd4: relaxed, PBE.

Cell lengths 5.907, 5.907, 5.907 Å; angles 90.00, 90.00, 90.00 degrees
Space group Pm-3m (No. 221)
Inequivalent atoms, fractional coordinates:
Sr: 0.000 0.000 0.000 (multiplicity 1)
Nd: 0.000 0.000 0.500 (multiplicity 3)
Nd: 0.500 0.500 0.500 (multiplicity 1)

Values from the calculation:
crystal system: cubic
total moment: 0.0 Bohr magnetons per cell
formation energy from the elements: 901 meV/atom

Sr5Nd: relaxed, PBE.

Cell lengths 6.607, 19.829, 4.481 Å; angles 90.00, 90.00, 90.00 degrees
Space group Cmmm (No. 65)
Inequivalent atoms, fractional coordinates:
Sr: 0.000 0.000 0.000 (multiplicity 2)
Sr: 0.000 0.169 0.500 (multiplicity 4)
Sr: 0.000 0.344 0.000 (multiplicity 4)
Nd: 0.000 0.500 0.500 (multiplicity 2)

Values from the calculation:
crystal system: orthorhombic
total moment: 0.0 Bohr magnetons per cell
formation energy from the elements: 94 meV/atom

Sr3Nd: relaxed, PBE.

Cell lengths 8.1720, 8.1720, 6.5910 Å; angles 90.00, 90.00, 120.00 degrees
Space group P6_3/mmc (No. 194)
Inequivalent atoms, fractional coordinates:
Sr: 0.1718 0.3437 0.2500 (multiplicity 6)
Nd: 0.3333 0.6667 0.7500 (multiplicity 2)

Values from the calculation:
crystal system: hexagonal
total moment: 0.3 Bohr magnetons per cell
formation energy from the elements: 155 meV/atom
relative energy among the computed polymorphs: 11 meV per atom

SrNd6: relaxed, PBE.

Cell lengths 8.393, 8.393, 8.393 Å; angles 90.00, 90.00, 90.00 degrees
Space group Im-3m (No. 229)
Inequivalent atoms, fractional coordinates:
Sr: 0.000 0.000 0.000 (multiplicity 2)
Nd: 0.000 0.250 0.500 (multiplicity 12)

Values from the calculation:
crystal system: cubic
total moment: 0.0 Bohr magnetons per cell
formation energy from the elements: 1040 meV/atom

Sr3Nd: relaxed, PBE.

Cell lengths 6.426, 6.426, 9.107 Å; angles 90.00, 90.00, 90.00 degrees
Space group I4/mmm (No. 139)
Inequivalent atoms, fractional coordinates:
Sr: 0.000 0.000 0.000 (multiplicity 2)
Sr: 0.000 0.500 0.250 (multiplicity 4)
Nd: 0.000 0.000 0.500 (multiplicity 2)

Values from the calculation:
crystal system: tetragonal
total moment: 0.0 Bohr magnetons per cell
formation energy from the elements: 148 meV/atom
relative energy among the computed polymorphs: 4 meV per atom

SrTbNd: relaxed, PBE.

Cell lengths 4.147, 4.147, 14.097 Å; angles 90.00, 90.00, 90.00 degrees
Space group P4/nmm (No. 129, origin choice 2)
Inequivalent atoms, fractional coordinates:
Sr: 0.250 0.250 0.111 (multiplicity 2)
Tb: 0.250 0.250 0.436 (multiplicity 2)
Nd: 0.250 0.250 0.700 (multiplicity 2)

Values from the calculation:
crystal system: tetragonal
total moment: 0.0 Bohr magnetons per cell
formation energy from the elements: 96 meV/atom
relative energy among the computed polymorphs: 0 meV per atom

SrTb4Nd: relaxed, PBE.

Cell lengths 9.612, 9.612, 9.612 Å; angles 90.00, 90.00, 90.00 degrees
Space group F-43m (No. 216)
Inequivalent atoms, fractional coordinates:
Sr: 0.000 0.000 0.000 (multiplicity 4)
Tb: 0.122 0.122 0.378 (multiplicity 16)
Nd: 0.250 0.250 0.750 (multiplicity 4)

Values from the calculation:
crystal system: cubic
total moment: 0.0 Bohr magnetons per cell
formation energy from the elements: 249 meV/atom

SrTbNd: relaxed, PBE.

Cell lengths 3.7755, 3.7755, 9.4012 Å; angles 90.00, 90.00, 120.00 degrees
Space group P3m1 (No. 156)
Inequivalent atoms, fractional coordinates:
Sr: 0.0000 0.0000 0.0000 (multiplicity 1)
Tb: 0.3333 0.6667 0.6524 (multiplicity 1)
Nd: 0.6667 0.3333 0.3583 (multiplicity 1)

Values from the calculation:
crystal system: trigonal
total moment: 0.0 Bohr magnetons per cell
formation energy from the elements: 122 meV/atom
relative energy among the computed polymorphs: 27 meV per atom

SrTb4Nd8: relaxed, PBE.

Cell lengths 11.644, 5.186, 15.198 Å; angles 90.00, 94.20, 90.00 degrees
Space group C2/m (No. 12)
Inequivalent atoms, fractional coordinates:
Sr: 0.000 0.000 0.000 (multiplicity 2)
Tb: 0.124 0.500 0.163 (multiplicity 4)
Tb: 0.152 0.000 0.537 (multiplicity 4)
Nd: 0.041 0.500 0.387 (multiplicity 4)
Nd: 0.074 0.000 0.763 (multiplicity 4)
Nd: 0.193 0.500 0.916 (multiplicity 4)
Nd: 0.235 0.000 0.311 (multiplicity 4)

Values from the calculation:
crystal system: monoclinic
total moment: 0.0 Bohr magnetons per cell
formation energy from the elements: 57 meV/atom

SrTbNd2: relaxed, PBE.

Cell lengths 3.7407, 3.7407, 37.2415 Å; angles 90.00, 90.00, 120.00 degrees
Space group R3m (No. 160, hexagonal axes)
Inequivalent atoms, fractional coordinates:
Sr: 0.0000 0.0000 0.0000 (multiplicity 3)
Tb: 0.0000 0.0000 0.1662 (multiplicity 3)
Nd: 0.0000 0.0000 0.5766 (multiplicity 3)
Nd: 0.0000 0.0000 0.7563 (multiplicity 3)

Values from the calculation:
crystal system: trigonal
total moment: 0.0 Bohr magnetons per cell
formation energy from the elements: 92 meV/atom
relative energy among the computed polymorphs: 6 meV per atom

SrTbNd2: relaxed, PBE.

Cell lengths 8.445, 8.445, 8.445 Å; angles 90.00, 90.00, 90.00 degrees
Space group Fm-3m (No. 225)
Inequivalent atoms, fractional coordinates:
Sr: 0.000 0.000 0.000 (multiplicity 4)
Tb: 0.000 0.000 0.500 (multiplicity 4)
Nd: 0.250 0.250 0.250 (multiplicity 8)

Values from the calculation:
crystal system: cubic
total moment: 0.0 Bohr magnetons per cell
formation energy from the elements: 216 meV/atom
relative energy among the computed polymorphs: 130 meV per atom

SrTbNd: relaxed, PBE.

Cell lengths 3.778, 3.778, 16.299 Å; angles 90.00, 90.00, 90.00 degrees
Space group I4mm (No. 107)
Inequivalent atoms, fractional coordinates:
Sr: 0.000 0.000 0.000 (multiplicity 2)
Tb: 0.000 0.000 0.322 (multiplicity 2)
Nd: 0.000 0.000 0.681 (multiplicity 2)

Values from the calculation:
crystal system: tetragonal
total moment: 0.0 Bohr magnetons per cell
formation energy from the elements: 103 meV/atom
relative energy among the computed polymorphs: 8 meV per atom

SrTbNd2: relaxed, PBE.

Cell lengths 3.6770, 3.6770, 39.3169 Å; angles 90.00, 90.00, 120.00 degrees
Space group R-3m (No. 166, hexagonal axes)
Inequivalent atoms, fractional coordinates:
Sr: 0.0000 0.0000 0.0000 (multiplicity 3)
Tb: 0.0000 0.0000 0.5000 (multiplicity 3)
Nd: 0.0000 0.0000 0.0932 (multiplicity 6)

Values from the calculation:
crystal system: trigonal
total moment: 0.0 Bohr magnetons per cell
formation energy from the elements: 180 meV/atom
relative energy among the computed polymorphs: 94 meV per atom

SrTbNd2: relaxed, PBE.

Cell lengths 5.311, 5.311, 5.278 Å; angles 90.00, 90.00, 90.00 degrees
Space group P4/mmm (No. 123)
Inequivalent atoms, fractional coordinates:
Sr: 0.000 0.000 0.000 (multiplicity 1)
Tb: 0.500 0.500 0.000 (multiplicity 1)
Nd: 0.000 0.500 0.500 (multiplicity 2)

Values from the calculation:
crystal system: tetragonal
total moment: 0.0 Bohr magnetons per cell
formation energy from the elements: 164 meV/atom
relative energy among the computed polymorphs: 78 meV per atom

SrTbNd2: relaxed, PBE.

Cell lengths 3.743, 3.743, 10.782 Å; angles 90.00, 90.00, 90.00 degrees
Space group P4/mmm (No. 123)
Inequivalent atoms, fractional coordinates:
Sr: 0.000 0.000 0.000 (multiplicity 1)
Tb: 0.000 0.000 0.500 (multiplicity 1)
Nd: 0.500 0.500 0.277 (multiplicity 2)

Values from the calculation:
crystal system: tetragonal
total moment: 0.0 Bohr magnetons per cell
formation energy from the elements: 86 meV/atom
relative energy among the computed polymorphs: 0 meV per atom

Sr3TbNd2Te6: relaxed, PBE.

Cell lengths 7.872, 13.616, 8.063 Å; angles 90.00, 109.00, 90.00 degrees
Space group C2/m (No. 12)
Inequivalent atoms, fractional coordinates:
Sr: 0.000 0.000 0.000 (multiplicity 2)
Sr: 0.000 0.331 0.000 (multiplicity 4)
Tb: 0.000 0.500 0.500 (multiplicity 2)
Nd: 0.000 0.166 0.500 (multiplicity 4)
Te: 0.242 0.336 0.737 (multiplicity 8)
Te: 0.246 0.500 0.260 (multiplicity 4)

Values from the calculation:
crystal system: monoclinic
electronic total energy: -4.71 eV/atom
total moment: 0.0 Bohr magnetons per cell

Sr4Tb3NdTe8: relaxed, PBE.

Cell lengths 9.0246, 9.0246, 22.7471 Å; angles 90.00, 90.00, 120.00 degrees
Space group R-3m (No. 166, hexagonal axes)
Inequivalent atoms, fractional coordinates:
Sr: 0.0000 0.0000 0.0000 (multiplicity 3)
Sr: 0.0000 0.5000 0.0000 (multiplicity 9)
Tb: 0.0000 0.5000 0.5000 (multiplicity 9)
Nd: 0.0000 0.0000 0.5000 (multiplicity 3)
Te: 0.0000 0.0000 0.2439 (multiplicity 6)
Te: 0.0048 0.5024 0.7550 (multiplicity 18)

Values from the calculation:
crystal system: trigonal
electronic total energy: -4.67 eV/atom
total moment: 0.0 Bohr magnetons per cell